VIr2OsF | GGA+U | relaxed

The value obtained for the density is 14.5 Mg/m³. The total moment comes out at 0.0 μB per formula unit. The calculation puts the total energy at -30.62 eV for the cell shown.

The space group is P4/mmm (No. 123) and the conventional cell measures 4.277, 4.277 and 4.041 Å, with angles of 90.00, 90.00 and 90.00 degrees. The distinct sites, in fractional coordinates, are V at (0.000, 0.000, 0.000), Ir at (0.000, 0.500, 0.500), Os at (0.500, 0.500, 0.000) and F at (0.500, 0.500, 0.500).